# GGA-PBE TlNiBr2, relaxed
# Density of states at the Fermi level ... 3.08 states/eV per cell
# Distance to the lowest polymorph of the same formula ... 88 meV/atom
# Magnetization ... 0.2756 μB/atom
# SG ... R-3m
# Formation energy (no corrections) ... -26 kJ/mol of atoms
# Calculated volume ... 25.6 Å³ per atom
data_TlNiBr2
_space_group_name_H-M_alt 'P 1'
_space_group_IT_number 1
_cell_length_a 8.6320
_cell_length_b 8.6320
_cell_length_c 8.6320
_cell_angle_alpha 25.20
_cell_angle_beta 25.20
_cell_angle_gamma 25.20
loop_
_space_group_symop_operation_xyz
'x,y,z'
loop_
_atom_site_label
_atom_site_type_symbol
_atom_site_fract_x
_atom_site_fract_y
_atom_site_fract_z
Tl1 Tl 0.0000 0.0000 0.0000
Ni1 Ni 0.5000 0.5000 0.5000
Br1 Br 0.2229 0.2229 0.2229
Br2 Br 0.7771 0.7771 0.7771